Material: NaGe2Pb
Method: DFT, PBE
State: optimized geometry

Geometry as CIF:
```
data_NaGe2Pb
_chemical_formula_sum 'Na1 Ge2 Pb1'
_cell_length_a 4.580
_cell_length_b 4.514
_cell_length_c 4.514
_cell_angle_alpha 90.00
_cell_angle_beta 90.00
_cell_angle_gamma 90.00
_space_group_name_H-M_alt 'P 1'
_space_group_IT_number 1
_space_group_name_Hall 'P 1'
loop_
_atom_site_label
_atom_site_type_symbol
_atom_site_fract_x
_atom_site_fract_y
_atom_site_fract_z
_atom_site_occupancy
Ge1 Ge 0.000 0.500 0.000 1
Ge2 Ge 0.000 0.000 0.500 1
Na1 Na 0.500 0.500 0.500 1
Pb1 Pb 0.500 0.000 0.000 1
```

Values from the calculation:
crystal system: tetragonal
ΔE_f: 0.092 eV per atom

Material: LuPuZnSi
Method: DFT, PBE
State: optimized geometry

Geometry as CIF:
```
data_LuPuZnSi
_chemical_formula_sum 'Lu1 Pu1 Zn1 Si1'
_cell_length_a 4.925
_cell_length_b 4.925
_cell_length_c 4.925
_cell_angle_alpha 60.00
_cell_angle_beta 60.00
_cell_angle_gamma 60.00
_space_group_name_H-M_alt 'P 1'
_space_group_IT_number 1
_space_group_name_Hall 'P 1'
loop_
_atom_site_label
_atom_site_type_symbol
_atom_site_fract_x
_atom_site_fract_y
_atom_site_fract_z
_atom_site_occupancy
Lu1 Lu 0.500 0.500 0.500 1
Pu1 Pu 0.000 0.000 0.000 1
Zn1 Zn 0.250 0.250 0.250 1
Si1 Si 0.750 0.750 0.750 1
```

Values from the calculation:
crystal system: cubic
ΔE_f (raw): -0.32 eV/atom

Material: LiErAl2Cu4
Method: DFT, PBE
State: optimized geometry

Geometry as CIF:
```
data_LiErAl2Cu4
_chemical_formula_sum 'Li1 Er1 Al2 Cu4'
_cell_length_a 4.229
_cell_length_b 4.229
_cell_length_c 8.175
_cell_angle_alpha 75.01
_cell_angle_beta 75.01
_cell_angle_gamma 60.00
_space_group_name_H-M_alt 'P 1'
_space_group_IT_number 1
_space_group_name_Hall 'P 1'
loop_
_atom_site_label
_atom_site_type_symbol
_atom_site_fract_x
_atom_site_fract_y
_atom_site_fract_z
_atom_site_occupancy
Er1 Er 0.000 0.000 0.000 1
Cu1 Cu 0.601 0.601 0.197 1
Cu2 Cu 0.872 0.872 0.385 1
Cu3 Cu 0.399 0.399 0.803 1
Cu4 Cu 0.128 0.128 0.615 1
Al1 Al 0.241 0.241 0.276 1
Al2 Al 0.759 0.759 0.724 1
Li1 Li 0.500 0.500 0.500 1
```

Values from the calculation:
crystal system: trigonal
ΔE_f: -0.273 eV per atom

Material: Li7MgCu4
Method: DFT, PBE
State: optimized geometry

Geometry as CIF:
```
data_Li7MgCu4
_chemical_formula_sum 'Li7 Mg1 Cu4'
_cell_length_a 4.734
_cell_length_b 7.205
_cell_length_c 6.548
_cell_angle_alpha 68.38
_cell_angle_beta 68.81
_cell_angle_gamma 70.82
_space_group_name_H-M_alt 'P 1'
_space_group_IT_number 1
_space_group_name_Hall 'P 1'
loop_
_atom_site_label
_atom_site_type_symbol
_atom_site_fract_x
_atom_site_fract_y
_atom_site_fract_z
_atom_site_occupancy
Li1 Li 0.500 0.000 0.000 1
Li2 Li 0.787 0.883 0.542 1
Li3 Li 0.731 0.313 0.225 1
Li4 Li 0.923 0.423 0.731 1
Li5 Li 0.269 0.687 0.775 1
Li6 Li 0.213 0.117 0.458 1
Li7 Li 0.077 0.577 0.269 1
Cu1 Cu 0.471 0.686 0.372 1
Cu2 Cu 0.321 0.341 0.018 1
Cu3 Cu 0.529 0.314 0.628 1
Cu4 Cu 0.679 0.659 0.982 1
Mg1 Mg 0.000 0.000 0.000 1
```

Values from the calculation:
crystal system: monoclinic
ΔE_f: 0.092 eV per atom

Total magnetic moment per entry: 0.0; 5.8; 0.0; 0.0 μB/cell